1.
Ac4HgIrBr2 GGA-PBE relaxed; DOS(E_F) = 5.66 states/eV per cell; E_tot = -4.614 eV per atom; formation energy without anion corrections = -7.97 eV per formula unit
1.0
-2.969 1.443 2.952
-6.001 -1.917 -5.098
1.703 -6.846 5.060
Ac Ir Hg Br
4 1 1 2
Direct
0.500 0.720 0.793
0.000 0.275 0.802
0.000 0.725 0.198
0.500 0.280 0.207
0.500 0.500 0.000
0.000 0.000 0.000
0.000 0.500 0.500
0.500 0.000 0.500

2.
Nd6Sm3Tm2Tl GGA-PBE relaxed; formation enthalpy at 0 K = 0.00 eV per atom; DOS(E_F) = 14.14 states/eV per cell; E_tot = -4.502 eV per atom
1.0
6.325 -0.011 0.036
-3.171 5.473 0.036
-1.136 -1.967 11.251
Nd Sm Tl Tm
6 3 1 2
Direct
0.754 0.754 0.245
0.408 0.080 0.243
0.080 0.408 0.243
0.592 0.920 0.757
0.246 0.246 0.755
0.920 0.592 0.757
0.500 0.500 0.500
0.832 0.168 0.500
0.168 0.832 0.500
0.000 0.000 0.000
0.334 0.666 0.000
0.666 0.334 0.000

3.
BeAg2C2 GGA-PBE relaxed; E above lowest polymorph = 0.0 meV/atom; formation enthalpy at 0 K = 1.47 eV per atom; DOS(E_F) = 1.26 states/eV per cell; E_tot = -4.105 eV per atom
1.0
-0.398 -2.577 0.079
0.115 -0.098 -2.604
7.977 -2.579 -0.856
C Ag Be
2 2 1
Direct
0.250 0.750 0.500
0.750 0.250 0.500
0.608 0.608 0.785
0.392 0.392 0.215
0.000 0.000 0.000

4.
Pr3Nd2Ga4 GGA-PBE relaxed; E above lowest polymorph = 0.0 meV/atom; formation enthalpy at 0 K = -0.50 eV per atom; DOS(E_F) = 16.91 states/eV per cell; E_tot = -4.501 eV per atom
1.0
7.604 0.123 0.000
-2.381 7.959 0.000
0.000 0.000 8.302
Ga Pr Nd
8 6 4
Direct
0.115 0.515 0.877
0.134 0.921 0.472
0.366 0.079 0.972
0.634 0.921 0.028
0.885 0.485 0.123
0.615 0.515 0.623
0.866 0.079 0.528
0.385 0.485 0.377
0.253 0.235 0.676
0.747 0.765 0.324
0.753 0.235 0.824
0.500 0.500 0.000
0.247 0.765 0.176
0.000 0.500 0.500
0.073 0.187 0.186
0.927 0.813 0.814
0.427 0.813 0.686
0.573 0.187 0.314

5.
Ba2PrPbS5 GGA-PBE relaxed; DOS(E_F) = 4.28 states/eV per cell; E_tot = -5.223 eV per atom; formation energy without anion corrections = -14.04 eV per formula unit
1.0
4.353 0.000 0.000
-2.177 9.076 0.000
0.000 0.000 13.154
S Ba Pr Pb
10 4 2 2
Direct
0.633 0.267 0.498
0.319 0.638 0.372
0.509 0.018 0.265
0.946 0.893 0.572
0.681 0.362 0.872
0.716 0.431 0.155
0.054 0.107 0.072
0.284 0.569 0.655
0.367 0.733 0.998
0.491 0.982 0.765
0.138 0.276 0.304
0.888 0.775 0.187
0.862 0.724 0.804
0.112 0.225 0.687
0.213 0.426 0.013
0.787 0.574 0.513
0.470 0.940 0.457
0.530 0.060 0.957

6.
Lu2HfCo GGA-PBE relaxed; E above lowest polymorph = 356.4 meV/atom; formation enthalpy at 0 K = 0.31 eV per atom; DOS(E_F) = 5.47 states/eV per cell; E_tot = -6.212 eV per atom
1.0
-2.061 -2.391 0.695
0.867 -3.075 -0.491
3.288 -2.278 9.436
Co Lu Hf
1 2 1
Direct
0.500 0.500 0.500
0.895 0.895 0.314
0.105 0.105 0.686
0.000 0.000 0.000

7.
YNi2Rh GGA-PBE relaxed; formation enthalpy at 0 K = -0.17 eV per atom; DOS(E_F) = 2.76 states/eV per cell; E_tot = -6.516 eV per atom
1.0
4.447 0.000 0.000
2.224 3.851 0.000
2.224 1.284 3.631
Rh Ni Y
1 2 1
Direct
0.500 0.500 0.500
0.250 0.250 0.250
0.000 0.000 0.000
0.750 0.750 0.750

8.
LaCeNi17 GGA-PBE relaxed; formation enthalpy at 0 K = -0.18 eV per atom; DOS(E_F) = 25.51 states/eV per cell; E_tot = -5.921 eV per atom
1.0
6.251 0.007 0.745
0.663 6.216 0.745
0.008 0.007 6.295
La Ni Ce
1 17 1
Direct
0.659 0.659 0.659
0.500 0.000 0.000
0.290 0.002 0.708
0.154 0.654 0.654
0.002 0.708 0.290
0.343 0.850 0.343
0.290 0.708 0.002
0.101 0.101 0.101
0.903 0.903 0.903
0.654 0.654 0.154
0.343 0.343 0.850
0.000 0.500 0.000
0.000 0.000 0.500
0.850 0.343 0.343
0.654 0.154 0.654
0.708 0.290 0.002
0.002 0.290 0.708
0.708 0.002 0.290
0.338 0.338 0.338